# 1
Material: NaPuTa4N8
Method: DFT, GGA-PBE
State: optimized geometry

a = 6.334 Å, b = 6.334 Å, c = 6.469 Å
α = 60.69°, β = 60.69°, γ = 60.00°
Each line ends with the local moment (μB).
Atoms (fractional coordinates):
Na 0.996 0.996 0.013  0.00
Pu 0.380 0.380 0.860  4.67
Ta 0.622 0.622 0.133  0.04
Ta 0.003 0.487 0.507  0.07
Ta 0.487 0.003 0.507  0.07
Ta 0.003 0.003 0.507  0.07
N 0.248 0.802 0.702  -0.05
N 0.802 0.248 0.702  -0.05
N 0.248 0.248 0.702  -0.05
N 0.237 0.237 0.289  -0.03
N 0.734 0.249 0.284  0.00
N 0.249 0.734 0.284  0.00
N 0.734 0.734 0.284  0.00
N 0.758 0.758 0.725  0.02

Summary:
- Energy: -10.126 eV/atom
- Calculated volume: 185.41 Å³/f.u.
- Calculated density: 9.877 g/cm³
- M_tot: 5.0 μB/cell
- Uncorrected formation energy: -0.8644 eV/atom

---

# 2
Material: NaPu2Ta3N8
Method: DFT, GGA-PBE
State: optimized geometry

a = 6.381 Å, b = 6.381 Å, c = 6.621 Å
α = 61.19°, β = 61.19°, γ = 60.00°
Each line ends with the local moment (μB).
Atoms (fractional coordinates):
Na 0.872 0.872 0.385  0.00
Pu 0.128 0.128 0.617  4.66
Pu 0.501 0.501 0.498  3.56
Ta 0.503 0.990 0.005  0.08
Ta 0.990 0.503 0.005  0.08
Ta 0.503 0.503 0.005  0.08
N 0.267 0.267 0.200  -0.06
N 0.731 0.731 0.808  -0.01
N 0.259 0.259 0.780  -0.12
N 0.703 0.259 0.780  -0.12
N 0.259 0.703 0.780  -0.12
N 0.736 0.307 0.220  -0.07
N 0.307 0.736 0.220  -0.07
N 0.736 0.736 0.220  -0.07

Summary:
- Energy: -10.386 eV/atom
- Calculated volume: 194.03 Å³/f.u.
- Calculated density: 9.978 g/cm³
- M_tot: 8.0 μB/cell
- Uncorrected formation energy: -0.9472 eV/atom

---

# 3
Material: Na3Pu3TcN8
Method: DFT, GGA-PBE
State: optimized geometry

a = 6.672 Å, b = 6.673 Å, c = 6.863 Å
α = 119.09°, β = 90.01°, γ = 120.00°
Each line ends with the local moment (μB).
Atoms (fractional coordinates):
Na 0.000 0.000 0.000  0.00
Na 0.000 0.500 0.000  0.00
Na 0.500 0.500 0.000  0.00
Pu 0.500 0.000 0.500  3.44
Pu 0.500 0.500 0.500  3.44
Pu 0.000 0.500 0.500  3.44
Tc 0.000 0.000 0.500  1.19
N 0.270 0.540 0.310  -0.21
N 0.730 0.460 0.690  -0.21
N 0.781 0.562 0.322  -0.16
N 0.219 0.438 0.678  -0.16
N 0.781 0.041 0.322  -0.16
N 0.219 0.959 0.678  -0.16
N 0.260 0.041 0.322  -0.16
N 0.740 0.959 0.678  -0.16

Summary:
- Energy: -8.802 eV/atom
- Calculated volume: 219.00 Å³/f.u.
- Calculated density: 7.666 g/cm³
- M_tot: 10.0 μB/cell
- Uncorrected formation energy: -0.5403 eV/atom

---

# 4
Material: Na3Pu2TcN6
Method: DFT, GGA-PBE
State: optimized geometry

a = 5.730 Å, b = 5.730 Å, c = 5.971 Å
α = 99.14°, β = 99.14°, γ = 120.01°
Each line ends with the local moment (μB).
Atoms (fractional coordinates):
Na 0.160 0.840 0.500  0.00
Na 0.840 0.160 0.500  0.00
Na 0.500 0.500 0.500  0.00
Pu 0.333 0.667 0.000  3.65
Pu 0.667 0.333 0.000  3.65
Tc 0.000 0.000 0.000  1.28
N 0.937 0.617 0.811  -0.12
N 0.741 0.741 0.189  -0.12
N 0.063 0.383 0.189  -0.12
N 0.617 0.937 0.811  -0.12
N 0.259 0.259 0.811  -0.12
N 0.383 0.063 0.189  -0.12

Summary:
- Energy: -8.282 eV/atom
- Calculated volume: 160.99 Å³/f.u.
- Calculated density: 7.623 g/cm³
- M_tot: 7.8 μB/cell
- Uncorrected formation energy: -0.5372 eV/atom

---

# 5
Material: NaPu2TcN4
Method: DFT, GGA-PBE
State: optimized geometry

a = 3.454 Å, b = 6.189 Å, c = 12.116 Å
α = 90.00°, β = 90.00°, γ = 106.20°
Each line ends with the local moment (μB).
Atoms (fractional coordinates):
Na 0.060 0.120 0.750  0.00
Na 0.940 0.880 0.250  0.00
Pu 0.370 0.740 0.548  4.16
Pu 0.630 0.260 0.048  4.16
Pu 0.630 0.260 0.452  4.16
Pu 0.370 0.740 0.952  4.16
Tc 0.799 0.598 0.750  -0.30
Tc 0.201 0.402 0.250  -0.30
N 0.246 0.492 0.093  -0.18
N 0.754 0.508 0.593  -0.18
N 0.754 0.508 0.907  -0.18
N 0.246 0.492 0.407  -0.18
N 0.000 0.000 0.500  -0.26
N 0.000 0.000 0.000  -0.26
N 0.381 0.762 0.750  -0.04
N 0.619 0.238 0.250  -0.04

Summary:
- Energy: -9.885 eV/atom
- Calculated volume: 124.35 Å³/f.u.
- Calculated density: 8.880 g/cm³
- M_tot: 14.9 μB/cell
- Uncorrected formation energy: -0.6791 eV/atom

---

# 6
Material: Na2Pu2TcN6
Method: DFT, GGA-PBE
State: optimized geometry

a = 5.659 Å, b = 5.659 Å, c = 6.002 Å
α = 98.38°, β = 98.38°, γ = 119.14°
Each line ends with the local moment (μB).
Atoms (fractional coordinates):
Na 0.841 0.159 0.000  0.00
Na 0.159 0.841 0.000  0.00
Pu 0.335 0.665 0.500  3.34
Pu 0.665 0.335 0.500  3.34
Tc 0.000 0.000 0.500  1.08
N 0.744 0.744 0.682  -0.12
N 0.045 0.376 0.679  -0.14
N 0.256 0.256 0.318  -0.12
N 0.376 0.045 0.679  -0.14
N 0.955 0.624 0.321  -0.14
N 0.624 0.955 0.321  -0.14

Summary:
- Energy: -8.781 eV/atom
- Calculated volume: 160.79 Å³/f.u.
- Calculated density: 7.395 g/cm³
- M_tot: 6.9 μB/cell
- Uncorrected formation energy: -0.4522 eV/atom

---

# 7
Material: Na3PuTh2N6
Method: DFT, GGA-PBE
State: optimized geometry

a = 6.253 Å, b = 6.253 Å, c = 6.081 Å
α = 99.45°, β = 99.45°, γ = 120.27°
Each line ends with the local moment (μB).
Atoms (fractional coordinates):
Na 0.148 0.852 0.500  0.00
Na 0.852 0.148 0.500  0.00
Na 0.500 0.500 0.500  0.00
Pu 0.000 0.000 0.000  1.58
Th 0.333 0.667 0.000  -0.03
Th 0.667 0.333 0.000  -0.03
N 0.940 0.642 0.814  -0.07
N 0.757 0.757 0.184  -0.06
N 0.060 0.358 0.186  -0.07
N 0.642 0.940 0.814  -0.07
N 0.243 0.243 0.816  -0.06
N 0.358 0.060 0.186  -0.07

Summary:
- Energy: -7.815 eV/atom
- Calculated volume: 193.88 Å³/f.u.
- Calculated density: 7.375 g/cm³
- M_tot: 1.0 μB/cell
- Uncorrected formation energy: -0.8912 eV/atom

---

# 8
Material: NaPu4ThN8
Method: DFT, GGA-PBE
State: optimized geometry

a = 6.915 Å, b = 6.915 Å, c = 6.682 Å
α = 58.84°, β = 58.84°, γ = 60.00°
Each line ends with the local moment (μB).
Atoms (fractional coordinates):
Na 0.998 0.998 0.006  0.00
Pu 0.619 0.619 0.144  -4.62
Pu 0.002 0.499 0.498  3.42
Pu 0.499 0.002 0.498  3.42
Pu 0.002 0.002 0.498  3.42
Th 0.390 0.390 0.829  -0.08
N 0.248 0.801 0.703  -0.20
N 0.801 0.248 0.703  -0.20
N 0.248 0.248 0.703  -0.20
N 0.241 0.241 0.278  -0.17
N 0.739 0.215 0.307  -0.12
N 0.215 0.739 0.307  -0.12
N 0.739 0.739 0.307  -0.12
N 0.761 0.761 0.716  -0.11

Summary:
- Energy: -10.388 eV/atom
- Calculated volume: 221.88 Å³/f.u.
- Calculated density: 10.052 g/cm³
- M_tot: 3.9 μB/cell
- Uncorrected formation energy: -0.9119 eV/atom

---

# 9
Material: Na4Pu3TiN8
Method: DFT, GGA-PBE
State: optimized geometry

a = 6.714 Å, b = 6.846 Å, c = 6.715 Å
α = 119.37°, β = 120.00°, γ = 90.00°
Each line ends with the local moment (μB).
Atoms (fractional coordinates):
Na 0.500 0.000 0.000  0.00
Na 0.500 0.000 0.500  0.00
Na 0.000 0.000 0.000  0.00
Na 0.000 0.000 0.500  0.00
Pu 0.500 0.500 0.000  3.25
Pu 0.500 0.500 0.500  3.25
Pu 0.000 0.500 0.500  3.25
Ti 0.000 0.500 0.000  0.06
N 0.225 0.683 0.958  -0.18
N 0.225 0.683 0.449  -0.18
N 0.271 0.312 0.541  -0.21
N 0.734 0.683 0.958  -0.18
N 0.266 0.317 0.042  -0.18
N 0.729 0.688 0.459  -0.21
N 0.775 0.317 0.551  -0.18
N 0.775 0.317 0.042  -0.18

Summary:
- Energy: -8.462 eV/atom
- Calculated volume: 220.32 Å³/f.u.
- Calculated density: 7.415 g/cm³
- M_tot: 8.0 μB/cell
- Uncorrected formation energy: -0.7892 eV/atom

---

# 10
Material: NaTmPu4N8
Method: DFT, GGA-PBE
State: optimized geometry

a = 6.871 Å, b = 6.871 Å, c = 6.539 Å
α = 58.30°, β = 58.30°, γ = 60.00°
Each line ends with the local moment (μB).
Atoms (fractional coordinates):
Na 0.002 0.002 0.993  0.00
Tm 0.381 0.381 0.856  -0.05
Pu 0.606 0.606 0.182  4.42
Pu 0.999 0.500 0.503  3.25
Pu 0.500 0.999 0.503  3.25
Pu 0.999 0.999 0.503  3.25
N 0.262 0.788 0.689  -0.23
N 0.788 0.262 0.689  -0.23
N 0.262 0.262 0.689  -0.23
N 0.236 0.236 0.291  -0.19
N 0.750 0.208 0.292  -0.28
N 0.208 0.750 0.292  -0.28
N 0.750 0.750 0.292  -0.28
N 0.757 0.757 0.728  -0.23

Summary:
- Energy: -10.167 eV/atom
- Calculated volume: 212.52 Å³/f.u.
- Calculated density: 10.001 g/cm³
- M_tot: 12.0 μB/cell
- Uncorrected formation energy: -0.9009 eV/atom

---

# 11
Material: Na3PuU2N6
Method: DFT, GGA-PBE
State: optimized geometry

a = 3.516 Å, b = 6.947 Å, c = 7.800 Å
α = 102.22°, β = 103.03°, γ = 90.00°
Each line ends with the local moment (μB).
Atoms (fractional coordinates):
Na 0.500 0.500 0.000  0.00
Na 0.834 0.165 0.667  0.00
Na 0.166 0.835 0.333  0.00
Pu 0.500 0.000 0.000  4.35
U 0.833 0.670 0.667  0.51
U 0.167 0.330 0.333  0.51
N 0.341 0.868 0.682  -0.06
N 0.683 0.543 0.367  -0.03
N 0.659 0.132 0.318  -0.06
N 0.022 0.223 0.043  -0.13
N 0.978 0.777 0.957  -0.13
N 0.317 0.457 0.633  -0.03

Summary:
- Energy: -8.559 eV/atom
- Calculated volume: 181.21 Å³/f.u.
- Calculated density: 8.000 g/cm³
- M_tot: 5.0 μB/cell
- Uncorrected formation energy: -0.9911 eV/atom

---

# 12
Material: Na4PuU3N8
Method: DFT, GGA-PBE
State: optimized geometry

a = 7.028 Å, b = 6.963 Å, c = 7.028 Å
α = 120.32°, β = 120.00°, γ = 90.00°
Each line ends with the local moment (μB).
Atoms (fractional coordinates):
Na 0.500 0.000 0.000  0.00
Na 0.500 0.000 0.500  0.00
Na 0.000 0.000 0.000  0.00
Na 0.000 0.000 0.500  0.00
Pu 0.000 0.500 0.000  4.50
U 0.500 0.500 0.000  0.61
U 0.500 0.500 0.500  0.61
U 0.000 0.500 0.500  0.61
N 0.235 0.679 0.944  -0.07
N 0.235 0.679 0.470  -0.07
N 0.272 0.315 0.543  -0.03
N 0.709 0.679 0.944  -0.07
N 0.291 0.321 0.056  -0.07
N 0.728 0.685 0.457  -0.03
N 0.765 0.321 0.530  -0.07
N 0.765 0.321 0.056  -0.07

Summary:
- Energy: -8.513 eV/atom
- Calculated volume: 241.98 Å³/f.u.
- Calculated density: 7.975 g/cm³
- M_tot: 6.0 μB/cell
- Uncorrected formation energy: -1.0080 eV/atom

---

# 13
Material: Na3Pu2UN6
Method: DFT, GGA-PBE
State: optimized geometry

a = 6.062 Å, b = 6.062 Å, c = 5.978 Å
α = 99.74°, β = 99.74°, γ = 120.00°
Each line ends with the local moment (μB).
Atoms (fractional coordinates):
Na 0.168 0.832 0.500  0.00
Na 0.832 0.168 0.500  0.00
Na 0.500 0.500 0.500  0.00
Pu 0.333 0.667 0.000  3.90
Pu 0.667 0.333 0.000  3.90
U 0.000 0.000 0.000  0.17
N 0.940 0.615 0.820  -0.15
N 0.735 0.735 0.180  -0.15
N 0.060 0.385 0.180  -0.15
N 0.615 0.940 0.820  -0.15
N 0.265 0.265 0.820  -0.15
N 0.385 0.060 0.180  -0.15

Summary:
- Energy: -8.730 eV/atom
- Calculated volume: 179.03 Å³/f.u.
- Calculated density: 8.153 g/cm³
- M_tot: 7.0 μB/cell
- Uncorrected formation energy: -0.9080 eV/atom

---

# 14
Material: NaPu4UN8
Method: DFT, GGA-PBE
State: optimized geometry

a = 6.899 Å, b = 6.899 Å, c = 6.562 Å
α = 58.29°, β = 58.29°, γ = 60.00°
Each line ends with the local moment (μB).
Atoms (fractional coordinates):
Na 0.997 0.997 0.008  0.00
Pu 0.622 0.622 0.135  4.62
Pu 0.003 0.499 0.494  -3.79
Pu 0.499 0.003 0.494  -3.79
Pu 0.003 0.003 0.494  -3.79
U 0.398 0.398 0.807  -0.27
N 0.251 0.769 0.729  0.15
N 0.769 0.251 0.729  0.15
N 0.251 0.251 0.729  0.15
N 0.252 0.252 0.245  0.16
N 0.734 0.219 0.313  0.13
N 0.219 0.734 0.313  0.13
N 0.734 0.734 0.313  0.13
N 0.767 0.767 0.698  0.14

Summary:
- Energy: -10.620 eV/atom
- Calculated volume: 214.94 Å³/f.u.
- Calculated density: 10.423 g/cm³
- M_tot: 5.6 μB/cell
- Uncorrected formation energy: -0.8673 eV/atom

---

# 15
Material: Na3Pu2VN6
Method: DFT, GGA-PBE
State: optimized geometry

a = 5.680 Å, b = 5.680 Å, c = 5.953 Å
α = 99.05°, β = 99.05°, γ = 120.04°
Each line ends with the local moment (μB).
Atoms (fractional coordinates):
Na 0.159 0.841 0.500  0.00
Na 0.841 0.159 0.500  0.00
Na 0.500 0.500 0.500  0.00
Pu 0.333 0.667 0.000  3.37
Pu 0.667 0.333 0.000  3.37
V 0.000 0.000 0.000  0.54
N 0.939 0.622 0.814  -0.19
N 0.744 0.744 0.185  -0.19
N 0.061 0.378 0.186  -0.19
N 0.622 0.939 0.814  -0.19
N 0.256 0.256 0.815  -0.19
N 0.378 0.061 0.186  -0.19

Summary:
- Energy: -8.334 eV/atom
- Calculated volume: 157.81 Å³/f.u.
- Calculated density: 7.281 g/cm³
- M_tot: 6.0 μB/cell
- Uncorrected formation energy: -0.6931 eV/atom

---

# 16
Material: Na2PuVN4
Method: DFT, GGA-PBE
State: optimized geometry

a = 4.646 Å, b = 7.482 Å, c = 6.593 Å
α = 90.00°, β = 90.00°, γ = 90.00°
Each line ends with the local moment (μB).
Atoms (fractional coordinates):
Na 0.442 0.372 0.259  0.00
Na 0.442 0.372 0.741  0.00
Na 0.942 0.628 0.759  0.00
Na 0.942 0.628 0.241  0.00
Pu 0.935 0.111 0.500  3.65
Pu 0.435 0.889 0.000  3.65
V 0.487 0.815 0.500  0.17
V 0.987 0.185 0.000  0.17
N 0.382 0.157 0.000  -0.22
N 0.882 0.843 0.500  -0.22
N 0.443 0.063 0.500  -0.19
N 0.943 0.937 0.000  -0.19
N 0.435 0.702 0.743  -0.16
N 0.935 0.298 0.243  -0.16
N 0.935 0.298 0.757  -0.16
N 0.435 0.702 0.257  -0.16

Summary:
- Energy: -8.018 eV/atom
- Calculated volume: 114.57 Å³/f.u.
- Calculated density: 5.753 g/cm³
- M_tot: 6.0 μB/cell
- Uncorrected formation energy: -0.5942 eV/atom

---

# 17
Material: Na4Pu3WN8
Method: DFT, GGA-PBE
State: optimized geometry

a = 6.721 Å, b = 6.873 Å, c = 6.721 Å
α = 119.28°, β = 120.00°, γ = 90.00°
Each line ends with the local moment (μB).
Atoms (fractional coordinates):
Na 0.500 0.000 0.000  0.01
Na 0.500 0.000 0.500  0.00
Na 0.000 0.000 0.000  0.00
Na 0.000 0.000 0.500  0.00
Pu 0.500 0.500 0.000  3.76
Pu 0.500 0.500 0.500  3.76
Pu 0.000 0.500 0.500  3.76
W 0.000 0.500 0.000  0.21
N 0.218 0.687 0.969  -0.16
N 0.218 0.687 0.437  -0.16
N 0.271 0.312 0.541  -0.23
N 0.750 0.687 0.969  -0.16
N 0.250 0.313 0.031  -0.16
N 0.729 0.688 0.459  -0.23
N 0.782 0.313 0.563  -0.16
N 0.782 0.313 0.031  -0.16

Summary:
- Energy: -8.698 eV/atom
- Calculated volume: 221.88 Å³/f.u.
- Calculated density: 8.381 g/cm³
- M_tot: 10.0 μB/cell
- Uncorrected formation energy: -0.7089 eV/atom

---

# 18
Material: Na3Pu3WN8
Method: DFT, GGA-PBE
State: optimized geometry

a = 6.699 Å, b = 6.699 Å, c = 6.892 Å
α = 119.10°, β = 90.00°, γ = 120.00°
Each line ends with the local moment (μB).
Atoms (fractional coordinates):
Na 0.000 0.000 0.000  0.00
Na 0.000 0.500 0.000  0.00
Na 0.500 0.500 0.000  0.00
Pu 0.500 0.000 0.500  3.55
Pu 0.500 0.500 0.500  3.55
Pu 0.000 0.500 0.500  3.55
W 0.000 0.000 0.500  0.15
N 0.271 0.541 0.312  -0.23
N 0.729 0.459 0.688  -0.23
N 0.785 0.569 0.321  -0.18
N 0.215 0.431 0.679  -0.18
N 0.785 0.036 0.321  -0.18
N 0.215 0.964 0.679  -0.18
N 0.252 0.036 0.321  -0.18
N 0.748 0.964 0.679  -0.18

Summary:
- Energy: -9.104 eV/atom
- Calculated volume: 221.67 Å³/f.u.
- Calculated density: 8.217 g/cm³
- M_tot: 9.0 μB/cell
- Uncorrected formation energy: -0.6699 eV/atom

---

# 19
Material: RbNaN2
Method: DFT, GGA-PBE
State: optimized geometry

a = 4.160 Å, b = 4.160 Å, c = 8.654 Å
α = 76.09°, β = 76.09°, γ = 90.00°
Each line ends with the local moment (μB).
Atoms (fractional coordinates):
Na 0.500 0.500 0.000  0.00
Na 0.250 0.750 0.500  0.00
Rb 0.000 0.000 0.000  0.00
Rb 0.750 0.250 0.500  0.00
N 0.375 0.125 0.250  0.39
N 0.375 0.625 0.250  0.40
N 0.375 0.625 0.750  0.40
N 0.875 0.625 0.750  0.41

Summary:
- Energy: -3.439 eV/atom
- Calculated volume: 70.44 Å³/f.u.
- Calculated density: 3.217 g/cm³
- E above lowest polymorph: 0.012 eV/atom
- M_tot: 2.3 μB/cell
- Uncorrected formation energy: 1.2955 eV/atom